5
Lattice="5.706 0.000 0.000 0.000 5.706 0.000 0.000 0.000 3.381" Properties=species:S:1:pos:R:3 comment="TiSiI2N | the Alexandria database | PBE | relaxed" energy_ev_per_atom=-4.46 raw_formation_energy_ev_per_atom=0.49 polymorph_energy_mev_per_atom=225.3 pbc="T T T"
Ti 0.000 0.000 0.000
Si 2.853 2.853 1.690
I 0.000 2.853 1.690
I 2.853 0.000 1.690
N 2.853 2.853 0.000

10
Lattice="2.657 1.534 6.507 -2.657 1.534 6.507 0.000 -3.068 6.507" Properties=species:S:1:pos:R:3 comment="Ti3AuN | the Alexandria database | PBE | relaxed" energy_ev_per_atom=-7.80 raw_formation_energy_ev_per_atom=-0.74 pbc="T T T"
Ti -1.803 -0.056 8.668
Ti -0.853 -1.589 10.852
Ti 0.950 -1.533 8.668
Ti -0.950 1.533 10.852
Ti 0.853 1.589 8.668
Ti 1.803 0.056 10.852
Au 0.000 0.000 6.593
Au 0.000 0.000 12.928
N 0.000 0.000 3.124
N 0.000 0.000 16.397

20
Lattice="10.852 0.000 0.000 0.000 10.852 0.000 0.000 0.000 3.956" Properties=species:S:1:pos:R:3 comment="Sr2Cd2Ag5Pd | the Alexandria database | PBE | relaxed" energy_ev_per_atom=-2.59 delta_e_f_mev_per_atom=-130 pbc="T T T"
Sr 1.901 3.525 0.000
Sr 3.525 8.951 0.000
Sr 7.326 1.901 0.000
Sr 8.951 7.326 0.000
Cd 1.363 6.789 0.000
Cd 4.063 1.363 0.000
Cd 6.789 9.488 0.000
Cd 9.488 4.063 0.000
Ag 0.000 5.426 1.978
Ag 0.587 8.858 1.978
Ag 1.993 0.587 1.978
Ag 3.432 6.013 1.978
Ag 4.839 3.432 1.978
Ag 5.426 0.000 1.978
Ag 6.013 7.419 1.978
Ag 7.419 4.839 1.978
Ag 8.858 10.265 1.978
Ag 10.265 1.993 1.978
Pd 0.000 0.000 0.000
Pd 5.426 5.426 0.000